Below is BaLa2Au after structural relaxation, with properties calculated at the PBE-GGA level.

Cell lengths 6.916, 6.960, 5.563 Å; angles 90.00, 90.00, 90.00 degrees
Fractional coordinates of all 8 atoms:
Ba 0.000 0.000 0.000
Ba 0.500 0.500 0.000
La 0.250 0.250 0.500
La 0.250 0.750 0.500
La 0.750 0.250 0.500
La 0.750 0.750 0.500
Au 0.000 0.500 0.000
Au 0.500 0.000 0.000

Properties
Calculated volume   267.76 Å³ per cell
Total energy   -15.365 eV per formula unit
DFT formation energy   -0.08 eV/atom
SG   No. 65